CaGaCu2Ge | PBE-GGA | relaxed

**Fermi-level density of states**: 1.70 states/eV per cell
**Uncorrected energy**: -3.8865 eV/atom
**SG**: No. 44
**M_tot**: 0.00 μB per formula unit
**Volume**: 17.89 Å³ per atom
**DFT formation energy**: -0.32 eV/atom

```
CaGaCu2Ge
1.0
-2.4224 -0.8971 3.1330
-1.7861 -2.9465 -2.2247
5.7251 -1.6210 1.3310
Cu Ga Ca Ge
2 1 1 1
Direct
0.6989 0.1989 0.3978
0.0557 0.0557 0.1114
0.1832 0.6832 0.3665
0.4427 0.4427 0.8854
0.8316 0.8316 0.6632
```